1.
Entry from Alexandria via LeMat-Bulk: NpUS4 after structural relaxation (GGA-PBE).

## Properties
Density of states at the Fermi level in states/eV per cell: 11.4
Formation energy (no corrections) in eV/atom: -1.315

Cell lengths 6.449, 4.020, 6.974 Å; angles 90.00, 90.47, 90.00 degrees
Fractional positions:
Np  0.000  0.000  0.000
U  0.000  0.500  0.500
S  0.209  0.500  0.829
S  0.211  0.000  0.340
S  0.789  0.000  0.660
S  0.791  0.500  0.171



2.
Entry from Alexandria via LeMat-Bulk: TiNb4Sn after structural relaxation (GGA-PBE).

## Properties
ΔE_f in eV per atom: -0.136
Density of states at the Fermi level in states/eV per cell: 6.3

Cell lengths 7.142, 7.142, 4.606 Å; angles 90.00, 90.00, 151.79 degrees
Fractional positions:
Ti  0.000  0.000  0.000
Nb  0.169  0.831  0.500
Nb  0.335  0.665  0.000
Nb  0.665  0.335  0.000
Nb  0.831  0.169  0.500
Sn  0.500  0.500  0.500



3.
Entry from Alexandria via LeMat-Bulk: PmPaCu2 after structural relaxation (GGA-PBE).

## Properties
ΔE_f in eV per atom: 0.127
Density of states at the Fermi level in states/eV per cell: 6.2

Cell lengths 4.940, 4.940, 4.940 Å; angles 60.00, 60.00, 60.00 degrees
Fractional positions:
Pm  0.000  0.000  0.000
Pa  0.500  0.500  0.500
Cu  0.250  0.250  0.250
Cu  0.750  0.750  0.750



4.
Entry from Alexandria via LeMat-Bulk: SrTl2Sb after structural relaxation (GGA-PBE).

## Properties
Density of states at the Fermi level in states/eV per cell: 1.2
Formation energy (no corrections) in eV/atom: -0.419

Cell lengths 4.956, 4.451, 6.707 Å; angles 90.00, 111.33, 90.00 degrees
Fractional positions:
Sr  0.000  0.000  0.000
Tl  0.275  0.500  0.558
Tl  0.722  0.000  0.450
Sb  0.545  0.500  0.091



5.
Entry from Alexandria via LeMat-Bulk: Tl2InSnPb2 after structural relaxation (GGA-PBE).

## Properties
ΔE_f in eV per atom: 0.006
Density of states at the Fermi level in states/eV per cell: 5.2

Cell lengths 4.914, 10.537, 6.958 Å; angles 90.00, 90.00, 90.00 degrees
Fractional positions:
Tl  0.000  0.002  0.000
Tl  0.000  0.998  0.500
Tl  0.500  0.167  0.753
Tl  0.500  0.833  0.253
In  0.500  0.496  0.765
In  0.500  0.504  0.265
Sn  0.000  0.343  0.007
Sn  0.000  0.657  0.507
Pb  0.000  0.343  0.513
Pb  0.000  0.657  0.013
Pb  0.500  0.189  0.246
Pb  0.500  0.811  0.746



6.
Entry from Alexandria via LeMat-Bulk: SrAl3Tc after structural relaxation (GGA-PBE).

## Properties
ΔE_f in eV per atom: -0.322
Density of states at the Fermi level in states/eV per cell: 0.0

Cell lengths 6.749, 6.749, 4.923 Å; angles 90.00, 90.00, 90.00 degrees
Fractional positions:
Sr  0.250  0.750  0.000
Sr  0.750  0.250  0.000
Al  0.000  0.000  0.500
Al  0.000  0.500  0.500
Al  0.250  0.250  0.105
Al  0.500  0.000  0.500
Al  0.500  0.500  0.500
Al  0.750  0.750  0.895
Tc  0.250  0.250  0.609
Tc  0.750  0.750  0.391



7.
Entry from Alexandria via LeMat-Bulk: Ti2Zn2Ge after structural relaxation (GGA-PBE).

## Properties
ΔE_f in eV per atom: -0.129
Density of states at the Fermi level in states/eV per cell: 9.1

Cell lengths 6.393, 6.393, 3.908 Å; angles 90.00, 90.00, 90.00 degrees
Fractional positions:
Ti  0.169  0.331  0.000
Ti  0.331  0.831  0.000
Ti  0.669  0.169  0.000
Ti  0.831  0.669  0.000
Zn  0.131  0.631  0.500
Zn  0.369  0.131  0.500
Zn  0.631  0.869  0.500
Zn  0.869  0.369  0.500
Ge  0.000  0.000  0.500
Ge  0.500  0.500  0.500



8.
Entry from Alexandria via LeMat-Bulk: ScNb2Fe2 after structural relaxation (GGA-PBE).

## Properties
ΔE_f in eV per atom: 0.017
Density of states at the Fermi level in states/eV per cell: 9.5

Cell lengths 7.227, 7.227, 3.043 Å; angles 90.00, 90.00, 90.00 degrees
Fractional positions:
Sc  0.000  0.000  0.000
Sc  0.500  0.500  0.000
Nb  0.159  0.341  0.500
Nb  0.341  0.841  0.500
Nb  0.659  0.159  0.500
Nb  0.841  0.659  0.500
Fe  0.132  0.632  0.000
Fe  0.368  0.132  0.000
Fe  0.632  0.868  0.000
Fe  0.868  0.368  0.000



9.
Entry from Alexandria via LeMat-Bulk: PrTm6Th after structural relaxation (GGA-PBE).

## Properties
ΔE_f in eV per atom: 0.226
Density of states at the Fermi level in states/eV per cell: 13.7

Cell lengths 6.503, 6.522, 7.476 Å; angles 115.82, 114.93, 90.06 degrees
Fractional positions:
Pr  0.000  0.000  0.000
Tm  0.084  0.269  0.537
Tm  0.446  0.764  0.529
Tm  0.500  0.253  0.000
Tm  0.500  0.747  0.000
Tm  0.554  0.236  0.471
Tm  0.916  0.731  0.463
Th  0.000  0.500  0.000



10.
Entry from Alexandria via LeMat-Bulk: HoTl3Sb2Te6 after structural relaxation (GGA-PBE).

## Properties
Formation energy (no corrections) in eV/atom: -0.498

Cell lengths 7.767, 7.767, 8.428 Å; angles 98.83, 98.83, 120.00 degrees
Fractional positions:
Ho  0.000  0.000  0.000
Tl  0.165  0.835  0.500
Tl  0.500  0.500  0.500
Tl  0.835  0.165  0.500
Sb  0.334  0.666  0.000
Sb  0.666  0.334  0.000
Te  0.072  0.404  0.214
Te  0.262  0.262  0.789
Te  0.404  0.072  0.214
Te  0.596  0.928  0.786
Te  0.738  0.738  0.211
Te  0.928  0.596  0.786



11.
Entry from Alexandria via LeMat-Bulk: Ho4PdS3 after structural relaxation (GGA-PBE).

## Properties
Density of states at the Fermi level in states/eV per cell: 7.4
Formation energy (no corrections) in eV/atom: -1.659

Cell lengths 3.844, 3.844, 27.154 Å; angles 90.00, 90.00, 120.00 degrees
Fractional positions:
Ho  0.000  0.000  0.183
Ho  0.000  0.000  0.317
Ho  0.000  0.000  0.683
Ho  0.000  0.000  0.817
Ho  0.333  0.667  0.059
Ho  0.333  0.667  0.441
Ho  0.667  0.333  0.559
Ho  0.667  0.333  0.941
Pd  0.333  0.667  0.250
Pd  0.667  0.333  0.750
S  0.000  0.000  0.000
S  0.000  0.000  0.500
S  0.333  0.667  0.619
S  0.333  0.667  0.881
S  0.667  0.333  0.119
S  0.667  0.333  0.381



12.
Entry from Alexandria via LeMat-Bulk: TiSe2Br after structural relaxation (GGA-PBE).

## Properties
Density of states at the Fermi level in states/eV per cell: 3.2
Formation energy (no corrections) in eV/atom: -0.721

Cell lengths 8.510, 8.510, 8.510 Å; angles 25.07, 25.07, 25.07 degrees
Fractional positions:
Ti  0.000  0.000  0.000
Se  0.392  0.392  0.392
Se  0.608  0.608  0.608
Br  0.500  0.500  0.500